[1]
PBE RhN2Cl4, optimized geometry; size of the total moment = 0.000 μB per formula unit; E_form (uncorrected) = 0.469 eV/atom; calculated total energy = -4.015 eV per atom
1.0
3.1420 1.1567 -1.3847
2.1959 8.8936 -1.6445
-2.5935 -0.2202 7.6727
Cl N Rh
4 2 1
Cartesian
1.7647 1.5622 0.5361
1.3329 4.0754 4.1322
1.4115 5.7547 0.5114
0.9796 8.2678 4.1075
-0.3541 2.2753 5.1558
3.0984 7.5547 -0.5122
0.0000 0.0000 0.0000

[2]
PBE SrErZnPt, optimized geometry; size of the total moment = 0.000 μB per formula unit; ΔE_f = -53.4 kJ per mole of atoms; calculated total energy = -3.944 eV per atom
1.0
5.1000 0.0000 0.0000
2.5500 4.4167 0.0000
2.5500 1.4722 4.1642
Zn Er Pt Sr
1 1 1 1
Cartesian
2.5500 1.4722 1.0410
5.1000 2.9445 2.0821
7.6500 4.4167 3.1231
0.0000 0.0000 0.0000

[3]
PBE Y2Pu3US6, optimized geometry; size of the total moment = 14.306 μB per formula unit; E_form (uncorrected) = -1.782 eV/atom; calculated total energy = -9.446 eV per atom
1.0
-3.2922 -1.0362 -1.8118
4.0765 -1.3714 -6.6233
1.7698 -7.0268 4.9963
Pu S U Y
3 6 1 2
Cartesian
-0.8819 -5.7758 0.7125
3.4360 -3.6586 -4.1512
0.3921 -1.2038 -4.2175
1.7909 -5.5807 -0.0626
3.8200 -6.2872 -3.3457
-1.2659 -3.1473 -0.0931
0.7631 -3.8537 -3.3761
-0.5068 -8.3997 1.5315
3.0609 -1.0348 -4.9703
-1.6461 -0.5181 -0.9059
1.1774 -6.5121 -2.6084
1.3767 -2.9223 -0.8303

[4]
PBE MgBeGa3, optimized geometry; size of the total moment = 0.000 μB per formula unit; ΔE_f = 19.7 kJ per mole of atoms; calculated total energy = -2.676 eV per atom; E above lowest polymorph = 0.00 eV/f.u.
1.0
-2.7893 2.6640 2.4303
-0.7519 -3.4347 2.9020
3.5268 1.3747 2.5408
Ga Mg Be
3 1 1
Cartesian
-1.3947 1.3320 1.2152
1.7634 0.6874 1.2704
-0.3759 -1.7173 1.4510
-0.0072 0.3020 3.9366
0.0000 0.0000 0.0000

[5]
PBE Na2LaPrO4, optimized geometry; size of the total moment = 0.000 μB per formula unit; E_form (uncorrected) = -2.609 eV/atom; calculated total energy = -6.632 eV per atom
1.0
3.6499 0.0000 0.0000
0.0000 6.3225 0.1098
0.0000 -2.2079 5.6016
Pr La O Na
1 1 4 2
Cartesian
0.0000 0.0000 0.0000
1.8249 3.1613 0.0549
0.0000 -0.0883 4.4161
1.8249 1.0240 1.2442
0.0000 4.2029 1.2952
1.8249 3.0906 4.4672
0.0000 2.0573 2.8557
1.8249 -1.1040 2.8008

[6]
PBE PrErCuRu, optimized geometry; size of the total moment = 0.000 μB per formula unit; ΔE_f = -22.0 kJ per mole of atoms; calculated total energy = -5.906 eV per atom
1.0
4.9372 0.0000 0.0000
2.4686 4.2757 0.0000
2.4686 1.4252 4.0312
Cu Ru Er Pr
1 1 1 1
Cartesian
2.4686 1.4252 1.0078
7.4057 4.2757 3.0234
4.9372 2.8505 2.0156
0.0000 0.0000 0.0000